Entry 1:
A plane-wave DFT calculation with PBE-GGA was carried out for a geometry-optimized CeZnAu structure.

abc: 5.8769 5.8769 5.8769
angles: 145.69 145.69 49.31
With the nearest neighbours (Å) after each atom.
Positions (direct):
1 Ce 0.0000 0.0000 0.0000  5 Au 3.16-3.34, 5 Zn 3.18-3.31, 4 Ce 3.47
2 Zn 0.6897 0.6897 0.0000  4 Au 2.78
3 Au 0.3130 0.3130 0.0000  4 Zn 2.78

Calculated formation energy = -0.40 eV/atom
Calculated total energy = -3.90 eV/atom
Size of the total moment = 0.928 μB/f.u.
Crystal system = tetragonal

---

Entry 2:
A plane-wave DFT calculation with PBE-GGA was carried out for a geometry-optimized CeZn3Au3 structure.

abc: 7.6084 7.6084 7.6084
angles: 55.40 55.40 55.40
With the nearest neighbours (Å) after each atom.
Positions (direct):
1 Ce 0.1607 0.1607 0.1607  6 Au 3.01-3.12, 6 Zn 3.25-3.26
2 Ce 0.8393 0.8393 0.8393  6 Au 3.01-3.12, 6 Zn 3.25-3.26
3 Zn 0.0475 0.6054 0.2287  4 Au 2.67-2.81, 2 Zn 2.73
4 Zn 0.2287 0.0475 0.6054  4 Au 2.67-2.81, 2 Zn 2.73
5 Zn 0.3946 0.7713 0.9525  4 Au 2.67-2.81, 2 Zn 2.73
6 Zn 0.6054 0.2287 0.0475  4 Au 2.67-2.81, 2 Zn 2.73
7 Zn 0.7713 0.9525 0.3946  4 Au 2.67-2.81, 2 Zn 2.73
8 Zn 0.9525 0.3946 0.7713  4 Au 2.67-2.81, 2 Zn 2.73
9 Au 0.1919 0.6701 0.4282  4 Zn 2.67-2.81, 2 Au 2.93
10 Au 0.3299 0.5718 0.8081  4 Zn 2.67-2.81, 2 Au 2.93
11 Au 0.4282 0.1919 0.6701  4 Zn 2.67-2.81, 2 Au 2.93
12 Au 0.5718 0.8081 0.3299  4 Zn 2.67-2.81, 2 Au 2.93
13 Au 0.6701 0.4282 0.1919  4 Zn 2.67-2.81, 2 Au 2.93
14 Au 0.8081 0.3299 0.5718  4 Zn 2.67-2.81, 2 Au 2.93

Calculated formation energy = -0.32 eV/atom
Energy above the most stable polymorph in this dataset = 0.00 eV/f.u.
Calculated total energy = -3.12 eV/atom
Size of the total moment = 0.758 μB/f.u.
Crystal system = trigonal

---

Entry 3:
A plane-wave DFT calculation with PBE-GGA was carried out for a geometry-optimized Ce4ZnAu3 structure.

abc: 3.8169 4.6785 11.5388
angles: 90.00 90.00 90.00
With the nearest neighbours (Å) after each atom.
Positions (direct):
1 Ce 0.0000 0.0000 0.0000  6 Au 3.10-3.25, 1 Zn 3.23
2 Ce 0.0000 0.5000 0.2862  7 Au 3.09-3.28
3 Ce 0.5000 0.0000 0.5013  5 Au 3.12-3.16, 2 Zn 3.16
4 Ce 0.5000 0.5000 0.7886  4 Zn 3.12, 3 Au 3.16
5 Zn 0.0000 0.0000 0.7200  2 Au 2.91, 7 Ce 3.12-3.23
6 Au 0.0000 0.5000 0.5707  2 Zn 2.91, 6 Ce 3.12-3.16
7 Au 0.5000 0.0000 0.2277  2 Au 3.02, 7 Ce 3.09-3.25
8 Au 0.5000 0.5000 0.0622  2 Au 3.02, 7 Ce 3.10-3.21

Calculated formation energy = -0.50 eV/atom
Calculated total energy = -4.86 eV/atom
Size of the total moment = 4.347 μB/f.u.
Crystal system = orthorhombic

---

Entry 4:
A plane-wave DFT calculation with PBE-GGA was carried out for a geometry-optimized CeZnAu2 structure.

abc: 3.3631 3.3631 7.1574
angles: 90.00 90.00 90.00
With the nearest neighbours (Å) after each atom.
Positions (direct):
1 Ce 0.0000 0.0000 0.0000  8 Au 3.16, 4 Ce 3.36
2 Zn 0.0000 0.0000 0.5000  8 Au 2.81
3 Au 0.5000 0.5000 0.2904  4 Zn 2.81, 1 Au 3.00
4 Au 0.5000 0.5000 0.7096  4 Zn 2.81, 1 Au 3.00

Calculated formation energy = -0.45 eV/atom
Calculated total energy = -3.89 eV/atom
Size of the total moment = 0.829 μB/f.u.
Crystal system = tetragonal

---

Entry 5:
A plane-wave DFT calculation with PBE-GGA was carried out for a geometry-optimized CeZrZnAu structure.

abc: 5.0152 5.0152 5.0152
angles: 60.00 60.00 60.00
With the nearest neighbours (Å) after each atom.
Positions (direct):
1 Ce 0.0000 0.0000 0.0000  4 Zn 3.07, 4 Au 3.07
2 Zr 0.5000 0.5000 0.5000  4 Au 3.07, 4 Zn 3.07
3 Zn 0.2500 0.2500 0.2500  4 Zr 3.07, 4 Ce 3.07
4 Au 0.7500 0.7500 0.7500  4 Zr 3.07, 4 Ce 3.07

Calculated formation energy = -0.26 eV/atom
Calculated total energy = -5.02 eV/atom
Size of the total moment = 2.053 μB/f.u.
Crystal system = cubic

---

Entry 6:
A plane-wave DFT calculation with PBE-GGA was carried out for a geometry-optimized CeZr2Au structure.

abc: 3.3703 3.3703 8.0839
angles: 90.00 90.00 90.00
With the nearest neighbours (Å) after each atom.
Positions (direct):
1 Ce 0.0000 0.0000 0.0000  8 Zr 3.28, 4 Ce 3.37
2 Zr 0.5000 0.5000 0.2781  4 Au 2.98, 4 Ce 3.28
3 Zr 0.5000 0.5000 0.7219  4 Au 2.98, 4 Ce 3.28
4 Au 0.0000 0.0000 0.5000  8 Zr 2.98

Calculated formation energy = -0.21 eV/atom
Energy above the most stable polymorph in this dataset = 0.00 eV/f.u.
Calculated total energy = -6.78 eV/atom
Size of the total moment = 0.155 μB/f.u.
Crystal system = tetragonal

---

Entry 7:
A plane-wave DFT calculation with PBE-GGA was carried out for a geometry-optimized CeZr2Au structure.

abc: 4.5994 4.5994 4.2449
angles: 90.00 90.00 90.00
With the nearest neighbours (Å) after each atom.
Positions (direct):
1 Ce 0.0000 0.0000 0.0000  8 Zr 3.13, 4 Au 3.25
2 Zr 0.0000 0.5000 0.5000  4 Ce 3.13, 4 Au 3.13, 4 Zr 3.25
3 Zr 0.5000 0.0000 0.5000  4 Ce 3.13, 4 Au 3.13, 4 Zr 3.25
4 Au 0.5000 0.5000 0.0000  8 Zr 3.13, 4 Ce 3.25

Calculated formation energy = -0.15 eV/atom
Energy above the most stable polymorph in this dataset = 0.24 eV/f.u.
Calculated total energy = -6.73 eV/atom
Size of the total moment = 0.000 μB/f.u.
Crystal system = tetragonal

---

Entry 8:
A plane-wave DFT calculation with PBE-GGA was carried out for a geometry-optimized Ce2ZrAu6 structure.

abc: 8.3558 8.3558 3.1301
angles: 90.00 90.00 120.00
With the nearest neighbours (Å) after each atom.
Positions (direct):
1 Ce 0.3333 0.6667 0.0000  2 Ce 3.13, 12 Au 3.21
2 Ce 0.6667 0.3333 0.0000  2 Ce 3.13, 12 Au 3.21
3 Zr 0.0000 0.0000 0.0000  2 Zr 3.13, 12 Au 3.17
4 Au 0.0000 0.3303 0.5000  3 Au 2.76-2.84
5 Au 0.0000 0.6697 0.5000  3 Au 2.76-2.84
6 Au 0.3303 0.0000 0.5000  3 Au 2.76-2.84
7 Au 0.3303 0.3303 0.5000  3 Au 2.76-2.84
8 Au 0.6697 0.0000 0.5000  3 Au 2.76-2.84
9 Au 0.6697 0.6697 0.5000  3 Au 2.76-2.84

Calculated formation energy = -0.59 eV/atom
Calculated total energy = -5.04 eV/atom
Size of the total moment = 1.945 μB/f.u.
Crystal system = hexagonal

---

Entry 9:
A plane-wave DFT calculation with PBE-GGA was carried out for a geometry-optimized CeZr2Au structure.

abc: 5.0329 5.0329 5.0329
angles: 60.00 60.00 60.00
With the nearest neighbours (Å) after each atom.
Positions (direct):
1 Ce 0.0000 0.0000 0.0000  4 Zr 3.08, 4 Au 3.08
2 Zr 0.5000 0.5000 0.5000  4 Zr 3.08, 4 Au 3.08
3 Zr 0.7500 0.7500 0.7500  4 Zr 3.08, 4 Ce 3.08
4 Au 0.2500 0.2500 0.2500  4 Zr 3.08, 4 Ce 3.08

Calculated formation energy = -0.14 eV/atom
Energy above the most stable polymorph in this dataset = 0.27 eV/f.u.
Calculated total energy = -6.72 eV/atom
Size of the total moment = 0.001 μB/f.u.
Crystal system = cubic

---

Entry 10:
A plane-wave DFT calculation with PBE-GGA was carried out for a geometry-optimized CeZr2Au structure.

abc: 4.9412 4.9412 4.9412
angles: 60.00 60.00 60.00
With the nearest neighbours (Å) after each atom.
Positions (direct):
1 Ce 0.0000 0.0000 0.0000  8 Zr 3.03
2 Zr 0.2500 0.2500 0.2500  4 Au 3.03, 4 Ce 3.03
3 Zr 0.7500 0.7500 0.7500  4 Au 3.03, 4 Ce 3.03
4 Au 0.5000 0.5000 0.5000  8 Zr 3.03

Calculated formation energy = -0.11 eV/atom
Energy above the most stable polymorph in this dataset = 0.39 eV/f.u.
Calculated total energy = -6.69 eV/atom
Size of the total moment = 0.795 μB/f.u.
Crystal system = cubic

---

Entry 11:
A plane-wave DFT calculation with PBE-GGA was carried out for a geometry-optimized Au3Cl structure.

abc: 5.1689 5.1689 2.9355
angles: 90.00 90.00 103.98
With the nearest neighbours (Å) after each atom.
Positions (direct):
1 Au 0.0000 0.0000 0.0000  10 Au 2.94-2.97, 2 Cl 3.18
2 Au 0.0000 0.5000 0.5000  8 Au 2.94-3.18, 4 Cl 2.97
3 Au 0.5000 0.0000 0.5000  8 Au 2.94-3.18, 4 Cl 2.97
4 Cl 0.5000 0.5000 0.0000  2 Cl 2.94, 10 Au 2.97-3.18

Formation energy from raw total energies = 300 meV per atom
Energy above the most stable polymorph in this dataset = 0.96 eV/f.u.
Calculated total energy = -2.62 eV/atom
Size of the total moment = 0.000 μB/f.u.
Crystal system = orthorhombic

---

Entry 12:
A plane-wave DFT calculation with PBE-GGA was carried out for a geometry-optimized Au3Cl structure.

abc: 5.4105 5.4105 5.4105
angles: 90.00 90.00 90.00
With the nearest neighbours (Å) after each atom.
Positions (direct):
1 Au 0.0000 0.2500 0.5000  2 Au 2.71, 4 Cl 3.02
2 Au 0.0000 0.7500 0.5000  2 Au 2.71, 4 Cl 3.02
3 Au 0.2500 0.5000 0.0000  2 Au 2.71, 4 Cl 3.02
4 Au 0.5000 0.0000 0.2500  2 Au 2.71, 4 Cl 3.02
5 Au 0.5000 0.0000 0.7500  2 Au 2.71, 4 Cl 3.02
6 Au 0.7500 0.5000 0.0000  2 Au 2.71, 4 Cl 3.02
7 Cl 0.0000 0.0000 0.0000  12 Au 3.02
8 Cl 0.5000 0.5000 0.5000  12 Au 3.02

Formation energy from raw total energies = 446 meV per atom
Energy above the most stable polymorph in this dataset = 1.55 eV/f.u.
Calculated total energy = -2.47 eV/atom
Size of the total moment = 0.000 μB/f.u.
Crystal system = cubic

---

Entry 13:
A plane-wave DFT calculation with PBE-GGA was carried out for a geometry-optimized Au2Cl structure.

abc: 6.7243 6.7243 5.0910
angles: 90.00 90.00 120.00
With the nearest neighbours (Å) after each atom.
Positions (direct):
1 Au 0.0000 0.2352 0.0000  2 Cl 2.63, 4 Au 2.74-2.86
2 Au 0.0000 0.4287 0.5000  2 Au 2.86, 1 Cl 2.88
3 Au 0.2352 0.0000 0.0000  2 Cl 2.63, 4 Au 2.74-2.86
4 Au 0.4287 0.0000 0.5000  2 Au 2.86, 1 Cl 2.88
5 Au 0.5713 0.5713 0.5000  2 Au 2.86, 1 Cl 2.88
6 Au 0.7648 0.7648 0.0000  2 Cl 2.63, 4 Au 2.74-2.86
7 Cl 0.0000 0.0000 0.5000  9 Au 2.88-3.00
8 Cl 0.3333 0.6667 0.0000  3 Au 2.63
9 Cl 0.6667 0.3333 0.0000  3 Au 2.63

Formation energy from raw total energies = 420 meV per atom
Energy above the most stable polymorph in this dataset = 1.30 eV/f.u.
Calculated total energy = -2.38 eV/atom
Size of the total moment = 0.000 μB/f.u.
Crystal system = hexagonal

---

Entry 14:
A plane-wave DFT calculation with PBE-GGA was carried out for a geometry-optimized AuCl structure.

abc: 4.8196 4.8196 4.8196
angles: 60.00 60.00 60.00
With the nearest neighbours (Å) after each atom.
Positions (direct):
1 Au 0.1250 0.1250 0.1250  4 Cl 2.95, 4 Au 2.95
2 Au 0.8750 0.8750 0.8750  4 Au 2.95, 4 Cl 2.95
3 Cl 0.3750 0.3750 0.3750  4 Cl 2.95, 4 Au 2.95
4 Cl 0.6250 0.6250 0.6250  4 Cl 2.95, 4 Au 2.95

Formation energy from raw total energies = 410 meV per atom
Calculated total energy = -2.15 eV/atom
Size of the total moment = 0.000 μB/f.u.
Crystal system = cubic

---

Entry 15:
A plane-wave DFT calculation with PBE-GGA was carried out for a geometry-optimized AuCl structure.

abc: 4.4081 4.4081 11.9451
angles: 90.00 90.00 90.00
With the nearest neighbours (Å) after each atom.
Positions (direct):
1 Au 0.0000 0.0000 0.0000  2 Cl 2.35
2 Au 0.0000 0.5000 0.5000  2 Cl 2.35
3 Au 0.5000 0.0000 0.5000  2 Cl 2.35
4 Au 0.5000 0.5000 0.0000  2 Cl 2.35
5 Cl 0.2500 0.2500 0.1470  2 Au 2.35
6 Cl 0.2500 0.2500 0.6470  2 Au 2.35
7 Cl 0.7500 0.7500 0.3530  2 Au 2.35
8 Cl 0.7500 0.7500 0.8530  2 Au 2.35

Formation energy from raw total energies = -203 meV per atom
Calculated total energy = -2.77 eV/atom
Size of the total moment = 0.000 μB/f.u.
Crystal system = tetragonal

---

Entry 16:
A plane-wave DFT calculation with PBE-GGA was carried out for a geometry-optimized Au3Cl4 structure.

abc: 6.0179 6.0179 4.6822
angles: 90.00 90.00 120.00
With the nearest neighbours (Å) after each atom.
Positions (direct):
1 Au 0.0000 0.5000 0.0000  8 Cl 2.92-3.24, 4 Au 3.01
2 Au 0.5000 0.0000 0.0000  8 Cl 2.92-3.24, 4 Au 3.01
3 Au 0.5000 0.5000 0.0000  8 Cl 2.92-3.24, 4 Au 3.01
4 Cl 0.0000 0.0000 0.2581  2 Cl 2.27-2.42
5 Cl 0.0000 0.0000 0.7419  2 Cl 2.27-2.42
6 Cl 0.3333 0.6667 0.5000  6 Au 2.92
7 Cl 0.6667 0.3333 0.5000  6 Au 2.92

Formation energy from raw total energies = 298 meV per atom
Calculated total energy = -2.16 eV/atom
Size of the total moment = 0.232 μB/f.u.
Crystal system = hexagonal

---

Entry 17:
A plane-wave DFT calculation with PBE-GGA was carried out for a geometry-optimized AuCl structure.

abc: 3.6838 3.6838 4.1126
angles: 90.00 90.00 126.31
With the nearest neighbours (Å) after each atom.
Positions (direct):
1 Au 0.0000 0.0000 0.0000  4 Cl 2.64
2 Cl 0.5000 0.5000 0.5000  4 Au 2.64

Formation energy from raw total energies = 155 meV per atom
Calculated total energy = -2.41 eV/atom
Size of the total moment = 0.000 μB/f.u.
Crystal system = orthorhombic

---

Entry 18:
A plane-wave DFT calculation with PBE-GGA was carried out for a geometry-optimized Au2Cl structure.

abc: 4.7611 4.7611 5.9862
angles: 90.00 90.00 120.00
With the nearest neighbours (Å) after each atom.
Positions (direct):
1 Au 0.0000 0.0000 0.0000  8 Au 2.99-3.13, 6 Cl 3.13
2 Au 0.0000 0.0000 0.5000  8 Au 2.99-3.13, 6 Cl 3.13
3 Au 0.3333 0.6667 0.2500  5 Cl 2.75-2.99
4 Au 0.6667 0.3333 0.7500  5 Cl 2.75-2.99
5 Cl 0.3333 0.6667 0.7500  5 Au 2.75-2.99
6 Cl 0.6667 0.3333 0.2500  5 Au 2.75-2.99

Formation energy from raw total energies = 410 meV per atom
Energy above the most stable polymorph in this dataset = 1.27 eV/f.u.
Calculated total energy = -2.39 eV/atom
Size of the total moment = 0.000 μB/f.u.
Crystal system = hexagonal

---

Entry 19:
A plane-wave DFT calculation with PBE-GGA was carried out for a geometry-optimized AuCl structure.

abc: 3.4206 3.4206 3.4206
angles: 90.00 90.00 90.00
With the nearest neighbours (Å) after each atom.
Positions (direct):
1 Au 0.0000 0.0000 0.0000  8 Cl 2.96
2 Cl 0.5000 0.5000 0.5000  8 Au 2.96

Formation energy from raw total energies = 337 meV per atom
Calculated total energy = -2.23 eV/atom
Size of the total moment = 0.000 μB/f.u.
Crystal system = cubic

---

Entry 20:
A plane-wave DFT calculation with PBE-GGA was carried out for a geometry-optimized Au3Cl structure.

abc: 3.3494 3.3494 6.9622
angles: 90.00 90.00 90.00
With the nearest neighbours (Å) after each atom.
Positions (direct):
1 Au 0.0000 0.0000 0.0000  8 Au 2.84
2 Au 0.5000 0.5000 0.2255  5 Au 2.84-3.14, 4 Cl 3.04
3 Au 0.5000 0.5000 0.7745  5 Au 2.84-3.14, 4 Cl 3.04
4 Cl 0.0000 0.0000 0.5000  8 Au 3.04, 4 Cl 3.35

Formation energy from raw total energies = 160 meV per atom
Energy above the most stable polymorph in this dataset = 0.40 eV/f.u.
Calculated total energy = -2.76 eV/atom
Size of the total moment = 0.000 μB/f.u.
Crystal system = tetragonal

---

Entry 21:
A plane-wave DFT calculation with PBE-GGA was carried out for a geometry-optimized AuCl structure.

abc: 7.4285 7.4285 3.9373
angles: 105.15 105.15 27.49
With the nearest neighbours (Å) after each atom.
Positions (direct):
1 Au 0.1703 0.1703 0.4225  4 Cl 2.71-2.72, 2 Au 2.83
2 Au 0.8297 0.8297 0.5775  4 Cl 2.71-2.72, 2 Au 2.83
3 Cl 0.3742 0.3742 0.1221  4 Au 2.71-2.72
4 Cl 0.6258 0.6258 0.8779  4 Au 2.71-2.72

Formation energy from raw total energies = 108 meV per atom
Calculated total energy = -2.45 eV/atom
Size of the total moment = 0.000 μB/f.u.
Crystal system = monoclinic

---

Entry 22:
A plane-wave DFT calculation with PBE-GGA was carried out for a geometry-optimized AuCl structure.

abc: 3.6090 3.6090 7.1394
angles: 90.00 90.00 90.00
With the nearest neighbours (Å) after each atom.
Positions (direct):
1 Au 0.2500 0.2500 0.0851  5 Cl 2.68-2.94, 4 Au 2.83
2 Au 0.7500 0.7500 0.9149  5 Cl 2.68-2.94, 4 Au 2.83
3 Cl 0.2500 0.2500 0.7097  5 Au 2.68-2.94
4 Cl 0.7500 0.7500 0.2903  5 Au 2.68-2.94

Formation energy from raw total energies = 128 meV per atom
Calculated total energy = -2.43 eV/atom
Size of the total moment = 0.000 μB/f.u.
Crystal system = tetragonal